A plane-wave DFT calculation with PBE was carried out for crystalline BaZnSb at its relaxed geometry.

abc: 5.232 4.882 7.420
angles: 90.00 89.26 90.00
Fractional positions:
Ba (0.244, 0.250, 0.195)
Sb (0.252, 0.250, 0.705)
Zn (0.255, 0.750, 0.497)
Ba (0.756, 0.750, 0.805)
Sb (0.748, 0.750, 0.295)
Zn (0.745, 0.250, 0.503)

Calculated volume in Å³/atom: 31.6
Polymorph energy (0 for the lowest one) in eV per atom: 0.058
Formation energy without anion corrections in eV per atom: -0.58
Space-group type: P2_1/m (11)
Total energy in Ha/atom: -0.1111

=====

A plane-wave DFT calculation with PBE was carried out for crystalline TbPm4NdS8 at its relaxed geometry.

abc: 8.276 8.276 8.246
angles: 59.88 59.88 60.00
Fractional positions:
Nd (0.376, 0.376, 0.873)
S (0.762, 0.762, 0.251)
Pm (0.000, 0.000, 0.500)
S (0.757, 0.757, 0.730)
S (0.237, 0.237, 0.748)
Pm (0.624, 0.624, 0.128)
Pm (0.000, 0.501, 0.500)
Tb (0.000, 0.000, 0.000)
Pm (0.501, 0.000, 0.500)
S (0.778, 0.237, 0.748)
S (0.762, 0.225, 0.251)
S (0.237, 0.778, 0.748)
S (0.242, 0.242, 0.273)
S (0.225, 0.762, 0.251)

Calculated volume in Å³/atom: 28.5
Formation energy without anion corrections in eV per atom: -1.92
Space-group type: R3m (160)
Total energy in Ha/atom: -0.2318

=====

A plane-wave DFT calculation with PBE was carried out for crystalline AlSbOs2 at its relaxed geometry.

abc: 3.332 3.332 5.903
angles: 90.00 90.00 90.00
Fractional positions:
Os (0.000, 0.000, 0.944)
Al (0.500, 0.500, 0.791)
Os (0.500, 0.500, 0.279)
Sb (0.000, 0.000, 0.486)

Calculated volume in Å³/atom: 16.4
Polymorph energy (0 for the lowest one) in eV per atom: 0.270
Formation energy without anion corrections in eV per atom: 0.34
Space-group type: P4mm (99)
Total energy in Ha/atom: -0.2660

=====

Which value of calculated volume does entry 1 give?
31.6 Å³/atom

=====

Which formula does entry 3 have?
AlSbOs2